Compound: Sn2BiH2Pd7
Source: the Alexandria database
Functional: PBE
Structure: optimized geometry

```
Sn2BiH2Pd7
1.0
2.903 -2.892 0.000
2.903 2.892 0.000
-1.894 0.000 10.973
Sn Bi H Pd
2 1 2 7
Direct
0.125 0.125 0.380
0.875 0.875 0.620
0.000 0.000 0.000
0.486 0.486 0.821
0.514 0.514 0.179
0.066 0.569 0.203
0.370 0.370 0.604
0.431 0.934 0.797
0.500 0.500 0.000
0.569 0.066 0.203
0.630 0.630 0.396
0.934 0.431 0.797
```

Values from the calculation:
uncorrected energy	-4.879	eV/atom
SG	No. 12
magnetic moment	0.0	μB/f.u.